! Na2AuF, relaxed, DFT GGA-PBE; values from VASP
! E_tot, eV/f.u.: -12.210
! Formation energy from raw total energies, eV/atom: -1.106
! Symmetry: Fm-3m
! N(E_F), states/eV/f.u.: 0.00
&SYSTEM
  ibrav = 0, nat = 16, ntyp = 3
/
ATOMIC_SPECIES
Na 22.99 Na.upf
Au 196.97 Au.upf
F 19.00 F.upf
CELL_PARAMETERS angstrom
6.832 0.000 0.000
0.000 6.832 0.000
0.000 0.000 6.832
ATOMIC_POSITIONS crystal
Na 0.250 0.250 0.250
Na 0.250 0.250 0.750
Na 0.250 0.750 0.250
Na 0.250 0.750 0.750
Na 0.750 0.250 0.250
Na 0.750 0.250 0.750
Na 0.750 0.750 0.250
Na 0.750 0.750 0.750
Au 0.000 0.000 0.000
Au 0.000 0.500 0.500
Au 0.500 0.000 0.500
Au 0.500 0.500 0.000
F 0.000 0.000 0.500
F 0.000 0.500 0.000
F 0.500 0.000 0.000
F 0.500 0.500 0.500



! Tb8Bi2Pb, relaxed, DFT GGA-PBE; values from VASP
! E_tot, eV/f.u.: -52.228
! Symmetry: C2/m
! N(E_F), states/eV/f.u.: 12.71
&SYSTEM
  ibrav = 0, nat = 11, ntyp = 3
/
ATOMIC_SPECIES
Tb 158.93 Tb.upf
Bi 208.98 Bi.upf
Pb 207.20 Pb.upf
CELL_PARAMETERS angstrom
9.307 -2.590 0.000
9.307 2.590 0.000
-0.291 0.000 7.063
ATOMIC_POSITIONS crystal
Tb 0.029 0.029 0.247
Tb 0.216 0.216 0.128
Tb 0.337 0.337 0.581
Tb 0.407 0.407 0.057
Tb 0.593 0.593 0.943
Tb 0.663 0.663 0.419
Tb 0.784 0.784 0.872
Tb 0.971 0.971 0.753
Bi 0.167 0.167 0.683
Bi 0.833 0.833 0.317
Pb 0.500 0.500 0.500



! Ca2SeO, relaxed, DFT GGA-PBE; values from VASP
! E_tot, eV/f.u.: -21.698
! Formation energy from raw total energies, eV/atom: -2.313
! Symmetry: I-42d
! N(E_F), states/eV/f.u.: 0.00
&SYSTEM
  ibrav = 0, nat = 16, ntyp = 3
/
ATOMIC_SPECIES
Ca 40.08 Ca.upf
Se 78.96 Se.upf
O 16.00 O.upf
CELL_PARAMETERS angstrom
6.651 0.000 0.000
0.000 6.651 0.000
0.000 0.000 8.106
ATOMIC_POSITIONS crystal
Ca 0.173 0.750 0.125
Ca 0.250 0.173 0.875
Ca 0.250 0.327 0.375
Ca 0.327 0.750 0.625
Ca 0.673 0.250 0.625
Ca 0.750 0.673 0.375
Ca 0.750 0.827 0.875
Ca 0.827 0.250 0.125
Se 0.000 0.000 0.500
Se 0.000 0.500 0.750
Se 0.500 0.000 0.250
Se 0.500 0.500 0.000
O 0.000 0.000 0.000
O 0.000 0.500 0.250
O 0.500 0.000 0.750
O 0.500 0.500 0.500



! Y2Mg, relaxed, DFT GGA-PBE; values from VASP
! E_tot, eV/f.u.: -14.195
! Symmetry: P-62m
! N(E_F), states/eV/f.u.: 4.62
&SYSTEM
  ibrav = 0, nat = 9, ntyp = 2
/
ATOMIC_SPECIES
Y 88.91 Y.upf
Mg 24.30 Mg.upf
CELL_PARAMETERS angstrom
7.960 0.000 0.000
-3.980 6.893 0.000
0.000 0.000 5.031
ATOMIC_POSITIONS crystal
Y 0.000 0.248 0.000
Y 0.000 0.581 0.500
Y 0.248 0.000 0.000
Y 0.419 0.419 0.500
Y 0.581 0.000 0.500
Y 0.752 0.752 0.000
Mg 0.000 0.000 0.500
Mg 0.333 0.667 0.000
Mg 0.667 0.333 0.000



! Ba3PuSe4, relaxed, DFT GGA-PBE; values from VASP
! E_tot, eV/f.u.: -48.724
! Formation energy from raw total energies, eV/atom: -1.836
! Symmetry: Cmmm
! N(E_F), states/eV/f.u.: 18.44
&SYSTEM
  ibrav = 0, nat = 16, ntyp = 3
/
ATOMIC_SPECIES
Ba 137.33 Ba.upf
Pu 244.00 Pu.upf
Se 78.96 Se.upf
CELL_PARAMETERS angstrom
9.209 0.000 0.000
0.000 12.991 0.000
0.000 0.000 4.566
ATOMIC_POSITIONS crystal
Ba 0.000 0.000 0.000
Ba 0.250 0.250 0.500
Ba 0.250 0.750 0.500
Ba 0.500 0.500 0.000
Ba 0.750 0.250 0.500
Ba 0.750 0.750 0.500
Pu 0.000 0.500 0.000
Pu 0.500 0.000 0.000
Se 0.000 0.262 0.000
Se 0.000 0.738 0.000
Se 0.227 0.500 0.500
Se 0.273 0.000 0.500
Se 0.500 0.238 0.000
Se 0.500 0.762 0.000
Se 0.727 0.000 0.500
Se 0.773 0.500 0.500



! Na2SeS4, relaxed, DFT GGA-PBE; values from VASP
! E_tot, eV/f.u.: -24.703
! Formation energy from raw total energies, eV/atom: -0.296
! Symmetry: C2/m
! N(E_F), states/eV/f.u.: 2.33
&SYSTEM
  ibrav = 0, nat = 14, ntyp = 3
/
ATOMIC_SPECIES
Na 22.99 Na.upf
Se 78.96 Se.upf
S 32.06 S.upf
CELL_PARAMETERS angstrom
14.648 0.000 0.000
0.000 4.241 0.000
-0.901 0.000 5.179
ATOMIC_POSITIONS crystal
Na 0.215 0.000 0.233
Na 0.285 0.500 0.767
Na 0.715 0.500 0.233
Na 0.785 0.000 0.767
Se 0.000 0.000 0.500
Se 0.500 0.500 0.500
S 0.045 0.500 0.158
S 0.157 0.000 0.708
S 0.343 0.500 0.292
S 0.455 0.000 0.842
S 0.545 0.000 0.158
S 0.657 0.500 0.708
S 0.843 0.000 0.292
S 0.955 0.500 0.842



Copy entry 5 word for word.
! Ba3PuSe4, relaxed, DFT GGA-PBE; values from VASP
! E_tot, eV/f.u.: -48.724
! Formation energy from raw total energies, eV/atom: -1.836
! Symmetry: Cmmm
! N(E_F), states/eV/f.u.: 18.44
&SYSTEM
  ibrav = 0, nat = 16, ntyp = 3
/
ATOMIC_SPECIES
Ba 137.33 Ba.upf
Pu 244.00 Pu.upf
Se 78.96 Se.upf
CELL_PARAMETERS angstrom
9.209 0.000 0.000
0.000 12.991 0.000
0.000 0.000 4.566
ATOMIC_POSITIONS crystal
Ba 0.000 0.000 0.000
Ba 0.250 0.250 0.500
Ba 0.250 0.750 0.500
Ba 0.500 0.500 0.000
Ba 0.750 0.250 0.500
Ba 0.750 0.750 0.500
Pu 0.000 0.500 0.000
Pu 0.500 0.000 0.000
Se 0.000 0.262 0.000
Se 0.000 0.738 0.000
Se 0.227 0.500 0.500
Se 0.273 0.000 0.500
Se 0.500 0.238 0.000
Se 0.500 0.762 0.000
Se 0.727 0.000 0.500
Se 0.773 0.500 0.500



- Look up the E_tot of the first one.
  -12.210 eV/f.u.



- What is the formula in the second record?
  Tb8Bi2Pb